## ZnGa2Au3 (PBE)

Data for a relaxed ZnGa2Au3 crystal.

Cell and atoms, written as CIF:
```
data_ZnGa2Au3
_chemical_formula_sum 'Zn2 Ga4 Au6'
_space_group_name_H-M_alt 'P 1'
_space_group_IT_number 1
_space_group_name_Hall 'P 1'
_cell_length_a 6.5166
_cell_length_b 6.5166
_cell_length_c 7.3397
_cell_angle_alpha 105.60
_cell_angle_beta 105.60
_cell_angle_gamma 48.19
loop_
_atom_site_label
_atom_site_fract_x
_atom_site_fract_y
_atom_site_fract_z
_atom_site_occupancy
Zn1 0.1945 0.8056 0.7500 1
Zn2 0.8056 0.1945 0.2500 1
Ga1 0.3247 0.3378 0.9109 1
Ga2 0.3378 0.3247 0.4109 1
Ga3 0.6622 0.6753 0.5891 1
Ga4 0.6753 0.6622 0.0891 1
Au1 0.1470 0.1579 0.5752 1
Au2 0.1579 0.1470 0.0752 1
Au3 0.3217 0.6783 0.2500 1
Au4 0.6783 0.3217 0.7500 1
Au5 0.8421 0.8530 0.9248 1
Au6 0.8530 0.8421 0.4248 1
```

Calculated values
- Energy of formation from the pure elements: -151 meV/atom
- Energy above the lowest structure with this stoichiometry: 51 meV per atom
- E: -3.011 eV per atom